1.
Computed, not measured: crystalline Rb2Mn2F5 at its relaxed geometry at the GGA+U level of DFT.

The calculated volume comes out at 20.6 A^3/atom. The calculation puts the theoretical density at 3.36 g/cm³. The value obtained for the electronic total energy is -5.25 eV/atom.

The space group is C2/m (No. 12) and the conventional cell measures 12.632, 4.425 and 6.901 Å, with angles of 90.00, 105.81 and 90.00 degrees. The inequivalent atoms are Rb at (0.113, 0.000, 0.345), Mn at (0.148, 0.500, 0.899), F at (0.000, 0.500, 0.000), F at (0.148, 0.500, 0.603) and F at (0.170, 0.000, 0.954).

2.
Computed, not measured: crystalline K2MnMoO4 at its relaxed geometry at the GGA+U level of DFT.

The calculated volume comes out at 14.3 A^3/atom. The calculation puts the theoretical density at 4.26 g/cm³. The value obtained for the electronic total energy is -6.20 eV/atom.

The space group is P2/m (No. 10) and the conventional cell measures 5.694, 3.304 and 6.377 Å, with angles of 90.00, 107.92 and 90.00 degrees. The inequivalent atoms are K at (0.000, 0.000, 0.000), K at (0.500, 0.500, 0.000), Mn at (0.000, 0.500, 0.500), Mo at (0.500, 0.000, 0.500), O at (0.249, 0.000, 0.676) and O at (0.293, 0.500, 0.318).

Question: Which of these has the highest theoretical density?
Answer: K2MnMoO4

Question: Which formula does entry 1 have?
Answer: Rb2Mn2F5

Question: What is the formula in the first record?
Answer: Rb2Mn2F5

Question: What is the formula in the first record?
Answer: Rb2Mn2F5